## AgSbOs2 (PBE)

Data for crystalline AgSbOs2 at its relaxed geometry.

Geometry as POSCAR:
```
AgSbOs2
1.0
2.9024 0.0022 0.0000
-1.4745 2.5000 0.0000
0.0000 0.0000 10.0122
Sb Os Ag
1 2 1
Cartesian
0.0000 0.0000 4.7906
0.7140 1.2511 2.3056
0.0000 0.0000 0.1970
0.7140 1.2511 7.7251
```

Summary:
D(E_F), states/eV per cell: 4.23
Uncorrected energy, eV/atom: -6.5591
Volume, Å³ per cell: 73
Crystal system: orthorhombic

## BaBi2As (PBE)

Data for crystalline BaBi2As at its relaxed geometry.

Geometry as POSCAR:
```
BaBi2As
1.0
-5.3501 -2.7051 -7.1630
7.6566 -1.9479 -4.9831
1.1357 -5.3552 -4.9161
As Bi Ba
2 4 2
Cartesian
1.1533 -2.3265 -6.0730
4.9728 -4.8148 -7.9861
4.0999 -3.0464 -5.6414
-1.8021 -3.1210 -5.9262
2.4397 -7.9784 -14.0349
2.1470 -5.8708 -8.5219
0.0000 0.0000 0.0000
-1.5306 -5.1934 -9.0761
```

Summary:
D(E_F), states/eV per cell: 6.29
Formation energy from the elements, eV/f.u.: -1.307
Uncorrected energy, eV/atom: -3.9102
Volume, Å³ per cell: 283
Crystal system: tetragonal

## Be2PH (PBE)

Data for crystalline Be2PH at its relaxed geometry.

Geometry as POSCAR:
```
Be2PH
1.0
-0.7257 -3.4408 -2.0081
2.2976 -2.0289 2.6463
-3.1314 -3.5354 3.1064
Be P H
4 2 2
Cartesian
-1.2028 -7.2348 2.6237
0.4899 -2.9260 1.9788
-1.5294 -4.9055 2.8337
-0.8767 -2.9440 0.0531
0.0000 0.0000 0.0000
-1.5356 -4.8556 0.7087
-0.0239 -4.1496 3.0359
0.7859 -2.7349 0.3191
```

Summary:
Offset from the most stable computed form, eV per formula unit: 1.12
D(E_F), states/eV per cell: 0.40
Uncorrected energy, eV/atom: -3.9591
Volume, Å³ per cell: 80
Crystal system: tetragonal

## Ba3Ho2O4F3 (PBE)

Data for crystalline Ba3Ho2O4F3 at its relaxed geometry.

Geometry as POSCAR:
```
Ba3Ho2O4F3
1.0
-1.9440 0.9413 3.7422
1.0987 -3.8521 1.5397
10.6136 6.0193 1.5053
O Ba F Ho
4 3 3 2
Cartesian
0.7656 1.2530 2.5885
8.9937 1.8598 4.2159
3.9141 1.7570 1.6029
5.8453 1.3557 5.2015
3.6194 0.3591 4.2962
-0.4272 -1.4533 2.6496
6.1396 2.7538 2.5087
2.1342 -1.2121 1.4251
7.6251 4.3249 5.3793
-0.0045 0.0022 0.0086
7.6821 2.1784 5.9489
2.0771 0.9344 0.8556
```

Summary:
D(E_F), states/eV per cell: 3.17
Uncorrected energy, eV/atom: -6.5343
Volume, Å³ per cell: 221
Crystal system: orthorhombic

## SmOsN (PBE)

Data for crystalline SmOsN at its relaxed geometry.

Geometry as POSCAR:
```
SmOsN
1.0
-0.0082 0.2906 -2.9174
5.0088 -2.9917 -0.3121
-5.7518 -9.5326 -0.9333
Sm N Os
4 4 4
Cartesian
-1.2586 -3.6456 -1.0962
0.5073 -8.5881 -3.0666
2.3340 -3.3380 -1.0756
-3.0853 -8.8957 -3.0871
-1.2401 -9.8871 -1.7179
0.4889 -2.3465 -2.4449
2.1299 -5.2732 -2.7410
-2.8812 -6.9605 -1.4218
-1.5269 -6.2933 -2.8323
0.7756 -5.9404 -1.3305
0.3172 -1.0536 -0.8424
-1.0685 -11.1801 -3.3204
```

Summary:
D(E_F), states/eV per cell: 10.35
Uncorrected energy, eV/atom: -8.3554
Volume, Å³ per cell: 191
Crystal system: orthorhombic

## SmIrPb2O6 (PBE)

Data for crystalline SmIrPb2O6 at its relaxed geometry.

Geometry as POSCAR:
```
SmIrPb2O6
1.0
5.9228 0.0000 -0.0283
0.0000 5.9203 0.0000
0.0114 0.0000 8.3649
O Pb Ir Sm
12 4 2 2
Cartesian
4.8504 4.5933 7.9868
4.0509 1.6332 4.5181
1.0838 1.3270 0.3498
4.3582 1.8122 7.9270
1.8833 4.2871 3.8185
5.4086 3.0703 1.8927
1.5759 4.1081 0.4096
3.4813 0.1101 2.2473
1.3912 1.1479 3.7587
0.5256 2.8500 6.4439
4.5430 4.7723 4.5779
2.4529 5.8102 6.0893
2.9126 2.7722 2.1195
0.0544 5.7323 2.0488
3.0215 3.1481 6.2171
5.8797 0.1880 6.2878
0.0000 2.9601 0.0000
2.9671 0.0000 4.1683
2.9614 0.0000 -0.0141
0.0057 2.9601 4.1824
```

Summary:
D(E_F), states/eV per cell: 12.79
Uncorrected energy, eV/atom: -6.6034
Volume, Å³ per cell: 293
Crystal system: monoclinic

## AcTh2Cd (PBE)

Data for crystalline AcTh2Cd at its relaxed geometry.

Geometry as POSCAR:
```
AcTh2Cd
1.0
-2.2907 -1.3203 2.6739
2.8278 -2.0322 1.4191
2.3412 7.1097 5.5163
Ac Th Cd
1 2 1
Cartesian
1.4392 1.8786 4.8046
0.5122 1.5554 1.2068
1.8290 5.5543 4.3095
0.2685 -1.6763 2.0465
```

Summary:
Offset from the most stable computed form, eV per formula unit: 0.00
D(E_F), states/eV per cell: 3.77
Formation energy from the elements, eV/f.u.: 0.229
Uncorrected energy, eV/atom: -4.9086
Volume, Å³ per cell: 131
Crystal system: tetragonal

## ZrInFe2 (PBE)

Data for crystalline ZrInFe2 at its relaxed geometry.

Geometry as POSCAR:
```
ZrInFe2
1.0
-1.0024 0.6556 5.1450
-1.9584 -2.3136 4.3264
3.1702 -1.7541 2.6601
In Fe Zr
1 2 1
Cartesian
0.2369 -1.7190 5.9582
3.0074 -1.7645 2.8878
0.2731 -2.5475 8.9210
-0.0332 -0.8414 3.0904
```

Summary:
D(E_F), states/eV per cell: 2.53
Formation energy from the elements, eV/f.u.: 0.029
Uncorrected energy, eV/atom: -7.0457
Volume, Å³ per cell: 66
Crystal system: monoclinic

Repeat the fifth record exactly.
## SmOsN (PBE)

Data for crystalline SmOsN at its relaxed geometry.

Geometry as POSCAR:
```
SmOsN
1.0
-0.0082 0.2906 -2.9174
5.0088 -2.9917 -0.3121
-5.7518 -9.5326 -0.9333
Sm N Os
4 4 4
Cartesian
-1.2586 -3.6456 -1.0962
0.5073 -8.5881 -3.0666
2.3340 -3.3380 -1.0756
-3.0853 -8.8957 -3.0871
-1.2401 -9.8871 -1.7179
0.4889 -2.3465 -2.4449
2.1299 -5.2732 -2.7410
-2.8812 -6.9605 -1.4218
-1.5269 -6.2933 -2.8323
0.7756 -5.9404 -1.3305
0.3172 -1.0536 -0.8424
-1.0685 -11.1801 -3.3204
```

Summary:
D(E_F), states/eV per cell: 10.35
Uncorrected energy, eV/atom: -8.3554
Volume, Å³ per cell: 191
Crystal system: orthorhombic

volume of number 4 (Ba3Ho2O4F3)?
221 Å³ per cell

Which value of volume does entry 3 give?
80 Å³ per cell